# 1
Compound: MnFe2Si
Source: the Alexandria database
Functional: PBE
Structure: optimized geometry

a = 3.4803 Å, b = 3.4803 Å, c = 7.3262 Å
α = 90.00°, β = 90.00°, γ = 90.00°
With the nearest neighbours (Å) after each atom.
Space group I-4m2 (No. 119)
Unique sites:
Mn  0.0000  0.0000  0.0000 x2  8 Fe 2.46-2.53, 4 Si 2.53
Fe  0.0000  0.0000  0.5000 x2  4 Mn 2.46, 4 Fe 2.53, 4 Si 2.53
Fe  0.0000  0.5000  0.2500 x2  4 Si 2.46, 4 Mn 2.53, 4 Fe 2.53
Si  0.0000  0.5000  0.7500 x2  8 Fe 2.46-2.53, 4 Mn 2.53

Properties
calculated volume: 88.74 Å³/cell
M_tot: 3.8 μB per cell
raw total energy: -64.80 eV per cell

***

# 2
Compound: KZn2In2
Source: the Alexandria database
Functional: PBE
Structure: optimized geometry

a = 8.8647 Å, b = 8.8647 Å, c = 3.1360 Å
α = 90.00°, β = 90.00°, γ = 90.00°
With the nearest neighbours (Å) after each atom.
Space group P4/mbm (No. 127)
Unique sites:
K  0.0000  0.0000  0.0000 x2  2 K 3.14, 4 Zn 3.40
Zn  0.1441  0.3559  0.0000 x4  6 In 3.01-3.07, 2 Zn 3.14
In  0.1458  0.6458  0.5000 x4  6 Zn 3.01-3.07, 2 In 3.14

Properties
calculated volume: 246.44 Å³/cell
energy above the lowest structure with this stoichiometry: 81 meV per atom
M_tot: 0.0 μB per cell
ΔE_f: 0.04 eV per atom
raw total energy: -17.89 eV per cell

***

# 3
Compound: Cd11SnPb
Source: the Alexandria database
Functional: PBE
Structure: optimized geometry

a = 6.5980 Å, b = 13.8704 Å, c = 7.7194 Å
α = 90.00°, β = 113.67°, γ = 90.00°
With the nearest neighbours (Å) after each atom.
Space group C2/m (No. 12)
Unique sites:
Cd  0.0000  0.0000  0.0000 x2  8 Cd 2.95-3.09, 2 Sn 3.30
Cd  0.0964  0.1100  0.7147 x8  7 Cd 2.95-3.22, 1 Sn 3.09
Cd  0.1882  0.3249  0.8476 x8  6 Cd 3.00-3.23, 1 Sn 3.16
Cd  0.2500  0.2500  0.5000 x4  10 Cd 2.95-3.30
Sn  0.0000  0.5000  0.0000 x2  10 Cd 3.09-3.30
Pb  0.0000  0.5000  0.5000 x2  8 Cd 3.46-3.84, 2 Sn 3.86

Properties
calculated volume: 647.04 Å³/cell
M_tot: 0.0 μB per cell
ΔE_f: 0.07 eV per atom
raw total energy: -33.84 eV per cell

***

# 4
Compound: PmNb4Se8
Source: the Alexandria database
Functional: PBE
Structure: optimized geometry

a = 7.1193 Å, b = 7.1193 Å, c = 21.4127 Å
α = 90.00°, β = 90.00°, γ = 120.00°
With the nearest neighbours (Å) after each atom.
Space group R-3m (No. 166, hexagonal axes)
Unique sites:
Pm  0.0000  0.0000  0.0000 x3  6 Se 2.85
Nb  0.0000  0.0000  0.5000 x3  6 Se 2.59
Nb  0.0000  0.5000  0.5000 x9  6 Se 2.63-2.67
Se  0.0000  0.0000  0.2437 x6  3 Nb 2.63
Se  0.0113  0.5056  0.2446 x18  3 Nb 2.59-2.67, 1 Pm 2.85

Properties
calculated volume: 939.89 Å³/cell
M_tot: 0.0 μB per cell
raw total energy: -255.94 eV per cell

***

# 5
Compound: CaZnHg2
Source: the Alexandria database
Functional: PBE
Structure: optimized geometry

a = 3.8022 Å, b = 3.8022 Å, c = 6.6972 Å
α = 90.00°, β = 90.00°, γ = 90.00°
With the nearest neighbours (Å) after each atom.
Space group P4mm (No. 99)
Unique sites:
Ca  0.0000  0.0000  0.0000 x1  5 Hg 3.15-3.23, 4 Zn 3.29
Zn  0.5000  0.5000  0.7158 x1  5 Hg 2.96-3.01, 4 Ca 3.29
Hg  0.0000  0.0000  0.5293 x1  4 Zn 2.96, 1 Ca 3.15, 4 Hg 3.21
Hg  0.5000  0.5000  0.2669 x1  1 Zn 3.01, 4 Hg 3.21, 4 Ca 3.23

Properties
calculated volume: 96.82 Å³/cell
M_tot: 0.0 μB per cell
ΔE_f: -0.22 eV per atom
raw total energy: -4.76 eV per cell

***

# 6
Compound: Ac8Ir3Au4S
Source: the Alexandria database
Functional: PBE
Structure: optimized geometry

a = 8.8742 Å, b = 8.8742 Å, c = 22.0713 Å
α = 90.00°, β = 90.00°, γ = 120.00°
With the nearest neighbours (Å) after each atom.
Space group R-3m (No. 166, hexagonal axes)
Unique sites:
Ac  0.0000  0.0000  0.2410 x6  3 Ir 3.04, 3 Au 3.27
Ac  0.0116  0.5058  0.7578 x18  2 Ir 3.02, 1 S 3.13, 3 Au 3.19-3.29
Ir  0.0000  0.5000  0.5000 x9  6 Ac 3.02-3.04
Au  0.0000  0.0000  0.0000 x3  6 Ac 3.19
Au  0.0000  0.5000  0.0000 x9  6 Ac 3.27-3.29
S  0.0000  0.0000  0.5000 x3  6 Ac 3.13

Properties
calculated volume: 1505.37 Å³/cell
M_tot: 0.0 μB per cell
raw total energy: -274.00 eV per cell

***

# 7
Compound: Pr4Nd3Y8
Source: the Alexandria database
Functional: PBE
Structure: optimized geometry

a = 13.6538 Å, b = 13.0057 Å, c = 6.8500 Å
α = 90.00°, β = 120.08°, γ = 90.00°
With the nearest neighbours (Å) after each atom.
Space group C2/m (No. 12)
Unique sites:
Pr  0.0000  0.0000  0.0000 x2  6 Y 3.33-3.57, 2 Pr 3.42
Pr  0.0000  0.0000  0.5000 x2  2 Pr 3.42, 4 Y 3.63
Pr  0.2500  0.2500  0.0000 x4  4 Y 3.26-3.41, 2 Nd 3.42
Nd  0.0000  0.5000  0.0000 x2  6 Y 3.17-3.27
Nd  0.2500  0.2500  0.5000 x4  4 Y 3.26-3.42, 2 Pr 3.42
Y  0.0000  0.2560  0.0000 x4  3 Nd 3.17-3.42, 3 Pr 3.33-3.41
Y  0.0000  0.3587  0.5000 x4  7 Y 3.68-3.69, 4 Nd 3.69-3.89, 2 Pr 3.70
Y  0.2322  0.5000  0.4925 x4  3 Nd 3.26-3.27, 2 Y 3.29-3.56, 2 Pr 3.57-3.63
Y  0.2324  0.5000  0.9729 x4  4 Pr 3.26-3.63, 1 Nd 3.27, 2 Y 3.29-3.56

Properties
calculated volume: 1052.56 Å³/cell
energy above the lowest structure with this stoichiometry: 225 meV per atom
M_tot: 0.0 μB per cell
ΔE_f: 0.35 eV per atom
raw total energy: -159.80 eV per cell

***

# 8
Compound: Li6GaHg3
Source: the Alexandria database
Functional: PBE
Structure: optimized geometry

a = 8.0423 Å, b = 4.6385 Å, c = 9.9034 Å
α = 90.00°, β = 108.66°, γ = 90.00°
With the nearest neighbours (Å) after each atom.
Space group P2_1/m (No. 11)
Unique sites:
Li  0.0383  0.2500  0.4090 x2  7 Hg 2.79-2.96, 3 Li 2.94-3.12
Li  0.1560  0.7500  0.1866 x2  5 Hg 2.76-2.98, 2 Li 2.86, 1 Ga 2.88
Li  0.2561  0.2500  0.0062 x2  3 Ga 2.76-2.79, 4 Hg 2.81-2.92, 1 Li 2.91
Li  0.3498  0.2500  0.3156 x2  8 Li 2.81-2.98, 4 Hg 3.04-3.12
Li  0.3506  0.7500  0.7999 x2  3 Ga 2.70-2.82, 4 Hg 2.81-2.93, 1 Li 2.98
Li  0.4424  0.2500  0.6189 x2  4 Hg 2.75-2.84, 1 Ga 2.76, 3 Li 2.81-2.85
Ga  0.4562  0.7500  0.0876 x2  8 Li 2.70-2.88
Hg  0.0364  0.7500  0.8892 x2  8 Li 2.76-2.93
Hg  0.1502  0.2500  0.7065 x2  8 Li 2.75-2.98
Hg  0.2711  0.7500  0.4902 x2  11 Li 2.79-3.08

Properties
calculated volume: 350.01 Å³/cell
M_tot: 0.0 μB per cell
ΔE_f: -0.31 eV per atom
raw total energy: -37.06 eV per cell

***

# 9
Compound: Tb2TmAg2
Source: the Alexandria database
Functional: PBE
Structure: optimized geometry

a = 3.6321 Å, b = 26.8366 Å, c = 5.2162 Å
α = 90.00°, β = 90.00°, γ = 90.00°
With the nearest neighbours (Å) after each atom.
Space group Cmcm (No. 63)
Unique sites:
Tb  0.0000  0.0474  0.2500 x4  8 Ag 3.12-3.18
Tb  0.0000  0.2344  0.2500 x4  2 Ag 3.07, 4 Tb 3.29
Tm  0.0000  0.1455  0.7500 x4  6 Ag 3.16-3.18
Ag  0.0000  0.3581  0.7500 x4  4 Tb 3.07-3.12, 4 Tm 3.18
Ag  0.0000  0.4507  0.2500 x4  2 Tm 3.16, 6 Tb 3.17-3.18

Properties
calculated volume: 508.44 Å³/cell
energy above the lowest structure with this stoichiometry: 0 meV per atom
M_tot: 0.0 μB per cell
ΔE_f: -0.23 eV per atom
raw total energy: -82.44 eV per cell

***

# 10
Compound: Ni2AgOs
Source: the Alexandria database
Functional: PBE
Structure: optimized geometry

a = 5.5726 Å, b = 7.3131 Å, c = 2.6310 Å
α = 90.00°, β = 90.00°, γ = 90.00°
With the nearest neighbours (Å) after each atom.
Space group Cmmm (No. 65)
Unique sites:
Ni  0.2500  0.2500  0.0000 x4  4 Ni 2.63-2.79, 4 Ag 2.65, 4 Os 2.65
Ag  0.0000  0.0000  0.5000 x2  2 Ag 2.63, 8 Ni 2.65, 2 Os 2.79
Os  0.0000  0.5000  0.5000 x2  2 Os 2.63, 8 Ni 2.65, 2 Ag 2.79

Properties
calculated volume: 107.22 Å³/cell
energy above the lowest structure with this stoichiometry: 173 meV per atom
M_tot: 2.8 μB per cell
ΔE_f: 0.37 eV per atom
raw total energy: -48.36 eV per cell

***

# 11
Compound: BePt
Source: the Alexandria database
Functional: PBE
Structure: optimized geometry

a = 6.1652 Å, b = 6.1652 Å, c = 6.1652 Å
α = 90.00°, β = 90.00°, γ = 90.00°
With the nearest neighbours (Å) after each atom.
Space group Pm-3n (No. 223)
Unique sites:
Be  0.0000  0.2500  0.5000 x6  4 Pt 2.18
Pt  0.0000  0.5000  0.2500 x6  4 Be 2.18

Properties
calculated volume: 234.34 Å³/cell
M_tot: 0.0 μB per cell
ΔE_f: 0.10 eV per atom
raw total energy: -57.44 eV per cell

***

# 12
Compound: Pm4Y2MgSc
Source: the Alexandria database
Functional: PBE
Structure: optimized geometry

a = 5.0211 Å, b = 5.0211 Å, c = 9.8656 Å
α = 90.00°, β = 90.00°, γ = 90.00°
With the nearest neighbours (Å) after each atom.
Space group P4/mmm (No. 123)
Unique sites:
Pm  0.0000  0.5000  0.2487 x4  2 Sc 3.51, 4 Y 3.51-3.53, 2 Mg 3.53, 4 Pm 3.55
Y  0.0000  0.0000  0.0000 x1  8 Pm 3.51, 4 Sc 3.55
Y  0.5000  0.5000  0.5000 x1  8 Pm 3.53, 4 Mg 3.55
Mg  0.0000  0.0000  0.5000 x1  8 Pm 3.53, 4 Y 3.55
Sc  0.5000  0.5000  0.0000 x1  8 Pm 3.51, 4 Y 3.55

Properties
calculated volume: 248.72 Å³/cell
M_tot: 0.0 μB per cell
ΔE_f: 0.02 eV per atom
raw total energy: -39.69 eV per cell